Compound: PmAl3IrPd
Source: the Alexandria database
Functional: PBE-GGA
Structure: relaxed

The structure in CIF format:
```
data_PmAl3IrPd
_cell_length_a 6.539
_cell_length_b 11.945
_cell_length_c 5.985
_cell_angle_alpha 90.00
_cell_angle_beta 90.00
_cell_angle_gamma 90.00
_space_group_name_H-M_alt 'C m c m'
_space_group_IT_number 63
_space_group_name_Hall '-C 2c 2'
loop_
_atom_site_label
_atom_site_fract_x
_atom_site_fract_y
_atom_site_fract_z
Pm1 0.000 0.222 0.250
Al1 0.000 0.336 0.750
Al2 0.201 0.000 0.000
Ir1 0.000 0.131 0.750
Pd1 0.000 0.457 0.250
```

Density in Mg/m³: 7.453
Calculated volume in Å³/f.u.: 116.9
Crystal system: orthorhombic
Total magnetization in μB per atom: 0.0000
E in eV/atom: -5.59
Energy of formation from the pure elements in eV/f.u.: -3.54